(1)
An optimized crystal structure of Na4Si2PbSe6, computed with PBE-GGA.

**N(E_F)**: 0.000 states/eV/atom
**Space group**: C2, No. 5

abc: 7.1394 7.1394 8.0324
angles: 81.37 81.37 119.92
Positions (direct):
Na 0.4977 0.5023 0.0000
Na 0.8299 0.1701 0.0000
Na 0.1725 0.8275 0.0000
Na 0.6661 0.3339 0.5000
Si 0.0501 0.0497 0.3469
Si 0.9503 0.9499 0.6531
Pb 0.3344 0.6656 0.5000
Se 0.7752 0.7734 0.2553
Se 0.2266 0.2248 0.7447
Se 0.0790 0.3875 0.2545
Se 0.3895 0.0836 0.2517
Se 0.9164 0.6105 0.7483
Se 0.6125 0.9210 0.7455

(2)
An optimized crystal structure of NaSmPb2Se4, computed with PBE-GGA.

**Space group**: P2/m, No. 10

abc: 4.3049 7.4081 7.5059
angles: 108.63 90.00 90.00
Positions (direct):
Na 0.5000 0.5000 0.0000
Sm 0.0000 0.0000 0.0000
Pb 0.5000 0.0000 0.5000
Pb 0.0000 0.5000 0.5000
Se 0.5000 0.2394 0.2334
Se 0.5000 0.7606 0.7666
Se 0.0000 0.2444 0.7608
Se 0.0000 0.7556 0.2392

(3)
An optimized crystal structure of NaSm2Pb3Se6, computed with PBE-GGA.

**N(E_F)**: 0.301 states/eV/atom
**Space group**: C2/m, No. 12

abc: 4.3742 8.5906 9.6678
angles: 103.16 103.07 90.00
Positions (direct):
Na 0.5000 0.0000 0.0000
Sm 0.8343 0.6688 0.6686
Sm 0.1657 0.3312 0.3314
Pb 0.5000 0.5000 0.0000
Pb 0.8409 0.1504 0.6818
Pb 0.1591 0.8496 0.3182
Se 0.3282 0.9021 0.6563
Se 0.6709 0.5723 0.3417
Se 0.6718 0.0979 0.3437
Se 0.0083 0.2503 0.0167
Se 0.9917 0.7497 0.9833
Se 0.3291 0.4277 0.6583

(4)
An optimized crystal structure of Na3SnPb3Se8, computed with PBE-GGA.

**N(E_F)**: 0.428 states/eV/atom
**Space group**: C2/m, No. 12

abc: 8.3018 8.2917 8.6843
angles: 118.47 90.00 120.04
Positions (direct):
Na 0.0000 0.0000 0.0000
Na 0.0000 0.5000 0.0000
Na 0.5000 0.5000 0.0000
Sn 0.0000 0.0000 0.5000
Pb 0.5000 0.0000 0.5000
Pb 0.5000 0.5000 0.5000
Pb 0.0000 0.5000 0.5000
Se 0.2522 0.5044 0.2571
Se 0.7478 0.4956 0.7429
Se 0.7717 0.5434 0.2749
Se 0.2283 0.4566 0.7251
Se 0.7721 0.0032 0.2749
Se 0.2279 0.9968 0.7251
Se 0.2311 0.0032 0.2749
Se 0.7689 0.9968 0.7251

(5)
An optimized crystal structure of Na2SnPbSe5, computed with PBE-GGA.

**N(E_F)**: 0.233 states/eV/atom
**Space group**: Cmc2_1, No. 36

abc: 4.1119 10.5574 12.4560
angles: 90.00 90.00 101.23
Positions (direct):
Na 0.9182 0.8364 0.8160
Na 0.0862 0.1725 0.6306
Na 0.0818 0.1636 0.3160
Na 0.9138 0.8275 0.1306
Sn 0.5910 0.1820 0.9336
Sn 0.4090 0.8180 0.4336
Pb 0.7356 0.4713 0.5500
Pb 0.2644 0.5287 0.0500
Se 0.3831 0.7662 0.9683
Se 0.7147 0.4295 0.8890
Se 0.5235 0.0471 0.7683
Se 0.2353 0.4706 0.7072
Se 0.9323 0.8645 0.5609
Se 0.6169 0.2338 0.4683
Se 0.2853 0.5705 0.3890
Se 0.4765 0.9529 0.2683
Se 0.7647 0.5294 0.2072
Se 0.0677 0.1355 0.0609

(6)
An optimized crystal structure of NaSn3Pb2Se6, computed with PBE-GGA.

**N(E_F)**: 0.509 states/eV/atom
**Space group**: C2/m, No. 12

abc: 4.2434 8.6358 9.6160
angles: 103.70 102.75 90.00
Positions (direct):
Na 0.5000 0.0000 0.0000
Sn 0.5000 0.5000 0.0000
Sn 0.8351 0.1644 0.6702
Sn 0.1649 0.8356 0.3298
Pb 0.8377 0.6712 0.6754
Pb 0.1623 0.3288 0.3246
Se 0.3316 0.9237 0.6632
Se 0.6650 0.5874 0.3299
Se 0.6684 0.0763 0.3368
Se 0.9974 0.2558 0.9948
Se 0.0026 0.7442 0.0052
Se 0.3350 0.4126 0.6701

(7)
An optimized crystal structure of NaSnPb2Se4, computed with PBE-GGA.

**N(E_F)**: 0.534 states/eV/atom
**Space group**: P2/m, No. 10

abc: 4.2606 7.3067 7.4424
angles: 71.71 90.00 90.00
Positions (direct):
Na 0.0000 0.5000 0.5000
Sn 0.5000 0.5000 0.0000
Pb 0.0000 0.0000 0.0000
Pb 0.5000 0.0000 0.5000
Se 0.0000 0.7340 0.7567
Se 0.0000 0.2660 0.2433
Se 0.5000 0.7380 0.2472
Se 0.5000 0.2620 0.7528

(8)
An optimized crystal structure of Na2SnPb3Se6, computed with PBE-GGA.

**N(E_F)**: 0.068 states/eV/atom
**Space group**: C2/m, No. 12

abc: 7.4469 7.4469 7.3313
angles: 99.85 99.85 119.70
Positions (direct):
Na 0.3329 0.6671 0.0000
Na 0.6671 0.3329 0.0000
Sn 0.0000 0.0000 0.0000
Pb 0.1645 0.8355 0.5000
Pb 0.8355 0.1645 0.5000
Pb 0.5000 0.5000 0.5000
Se 0.9244 0.6188 0.7756
Se 0.7687 0.7687 0.2439
Se 0.0756 0.3812 0.2244
Se 0.6188 0.9244 0.7756
Se 0.2313 0.2313 0.7561
Se 0.3812 0.0756 0.2244

(9)
An optimized crystal structure of NaSn2Pb3Se6, computed with PBE-GGA.

**N(E_F)**: 0.487 states/eV/atom
**Space group**: C2/m, No. 12

abc: 4.2810 8.6250 9.5698
angles: 102.24 102.92 90.00
Positions (direct):
Na 0.5000 0.0000 0.0000
Sn 0.8386 0.6726 0.6772
Sn 0.1614 0.3274 0.3228
Pb 0.5000 0.5000 0.0000
Pb 0.8370 0.1667 0.6740
Pb 0.1630 0.8333 0.3260
Se 0.3306 0.9033 0.6613
Se 0.6700 0.5803 0.3399
Se 0.6694 0.0967 0.3387
Se 0.0065 0.2490 0.0130
Se 0.9935 0.7510 0.9870
Se 0.3300 0.4197 0.6601

(10)
An optimized crystal structure of Na2SnPbSe4, computed with PBE-GGA.

**N(E_F)**: 0.443 states/eV/atom
**Space group**: Imma, No. 74

abc: 8.4599 8.4599 8.6141
angles: 120.60 120.60 90.08
Positions (direct):
Na 0.5000 0.0000 0.0000
Na 0.5000 0.0000 0.5000
Na 0.0000 0.0000 0.5000
Na 0.5000 0.5000 0.0000
Sn 0.5000 0.5000 0.5000
Sn 0.0000 0.0000 0.0000
Pb 0.0000 0.5000 0.0000
Pb 0.0000 0.5000 0.5000
Se 0.2368 0.7804 0.0086
Se 0.7196 0.2632 0.4914
Se 0.2804 0.7368 0.5086
Se 0.7632 0.2196 0.9914
Se 0.7458 0.7542 0.9778
Se 0.7458 0.7542 0.5222
Se 0.2542 0.2458 0.4778
Se 0.2542 0.2458 0.0222

(11)
An optimized crystal structure of NaTaPbSe4, computed with PBE-GGA.

**N(E_F)**: 0.000 states/eV/atom
**Space group**: P2_1/m, No. 11

abc: 7.1272 7.3238 8.4611
angles: 90.00 108.33 90.00
Positions (direct):
Na 0.7717 0.7500 0.4499
Na 0.2283 0.2500 0.5501
Ta 0.2421 0.7500 0.3103
Ta 0.7579 0.2500 0.6897
Pb 0.7814 0.7500 0.9473
Pb 0.2186 0.2500 0.0527
Se 0.9925 0.5052 0.7598
Se 0.0075 0.0052 0.2402
Se 0.0075 0.4948 0.2402
Se 0.9925 0.9948 0.7598
Se 0.4360 0.7500 0.1257
Se 0.5640 0.2500 0.8743
Se 0.4207 0.7500 0.5992
Se 0.5793 0.2500 0.4008

(12)
An optimized crystal structure of Na3TaPb3Se8, computed with PBE-GGA.

**N(E_F)**: 0.334 states/eV/atom
**Space group**: C2/m, No. 12

abc: 8.3098 8.3089 8.6581
angles: 118.69 90.00 120.00
Positions (direct):
Na 0.0000 0.0000 0.0000
Na 0.0000 0.5000 0.0000
Na 0.5000 0.5000 0.0000
Ta 0.0000 0.0000 0.5000
Pb 0.5000 0.0000 0.5000
Pb 0.5000 0.5000 0.5000
Pb 0.0000 0.5000 0.5000
Se 0.2491 0.4982 0.2496
Se 0.7509 0.5018 0.7504
Se 0.7822 0.5643 0.2868
Se 0.2178 0.4357 0.7132
Se 0.7823 0.0044 0.2873
Se 0.2177 0.9956 0.7127
Se 0.2221 0.0044 0.2873
Se 0.7779 0.9956 0.7127

For the records above, the corresponding formation energy without anion corrections values read -11.210 -8.705 -13.085 -8.589 -4.732 -6.612 -4.761 -7.820 -6.857 -5.429 -5.023 -10.651 eV per formula unit.